Computed, not measured: a relaxed K2NiPt2O6 crystal at the PBE+U level of DFT. Values from VASP.

```
&SYSTEM
  ibrav = 0, nat = 11, ntyp = 4
/
ATOMIC_SPECIES
O 16.00 O.upf
Pt 195.08 Pt.upf
Ni 58.69 Ni.upf
K 39.10 K.upf
CELL_PARAMETERS angstrom
5.477 -0.035 0.064
-2.737 4.744 0.064
-0.959 -1.648 6.003
ATOMIC_POSITIONS crystal
O 0.715 0.715 0.666
O 0.052 0.394 0.667
O 0.394 0.052 0.667
O 0.948 0.606 0.333
O 0.285 0.285 0.334
O 0.606 0.948 0.333
Pt 0.666 0.334 0.500
Pt 0.334 0.666 0.500
Ni 0.000 0.000 0.500
K 0.164 0.836 0.000
K 0.836 0.164 0.000
```

Output
Space-group type = C2/m (12)
D(E_F) = 0.00 states/eV/atom
Total DFT energy (no corrections) = -5.2522 eV/atom
Size of the total moment = 2.0 Bohr magnetons per cell
Crystal system = monoclinic
V = 14.235 A^3/atom